Compound: NbHg
Source: Alexandria
Functional: PBE-GGA
Structure: optimized geometry

```
NbHg
1.0
7.560 0.000 0.000
0.000 7.560 0.000
0.000 0.000 7.560
Nb Hg
6 6
Direct
0.000 0.250 0.500
0.000 0.750 0.500
0.250 0.500 0.000
0.500 0.000 0.250
0.500 0.000 0.750
0.750 0.500 0.000
0.000 0.500 0.250
0.000 0.500 0.750
0.250 0.000 0.500
0.500 0.250 0.000
0.500 0.750 0.000
0.750 0.000 0.500
```

Results
formation enthalpy at 0 K = 1844 meV per atom
crystal system = cubic
SG = No. 223